# Na3Er2CoO6 | the Alexandria database | PBE+U | optimized geometry
data_Na3Er2CoO6
_symmetry_space_group_name_H-M 'C 1 2/m 1'
_symmetry_Int_Tables_number 12
_symmetry_space_group_name_Hall '-C 2y'
_cell_length_a 5.674
_cell_length_b 9.766
_cell_length_c 5.853
_cell_angle_alpha 90.00
_cell_angle_beta 108.58
_cell_angle_gamma 90.00
loop_
_atom_site_label
_atom_site_fract_x
_atom_site_fract_y
_atom_site_fract_z
Na1 0.000 0.000 0.000
Na2 0.000 0.344 0.000
Er1 0.000 0.167 0.500
Co1 0.000 0.500 0.500
O1 0.224 0.345 0.707
O2 0.247 0.000 0.710
# total DFT energy (no corrections) = -6.24 eV/atom
# total magnetic moment = 3.946 μB per formula unit
# theoretical density = 6.0 Mg/m³

=====

# Na3Er3CoO8 | the Alexandria database | PBE+U | optimized geometry
data_Na3Er3CoO8
_symmetry_space_group_name_H-M 'R -3 m'
_symmetry_Int_Tables_number 166
_symmetry_space_group_name_Hall '-R 3 2"'
_cell_length_a 6.5622
_cell_length_b 6.5622
_cell_length_c 16.5712
_cell_angle_alpha 90.00
_cell_angle_beta 90.00
_cell_angle_gamma 120.00
loop_
_atom_site_label
_atom_site_fract_x
_atom_site_fract_y
_atom_site_fract_z
Na1 0.0000 0.5000 0.0000
Er1 0.0000 0.5000 0.5000
Co1 0.0000 0.0000 0.5000
O1 0.0000 0.0000 0.2366
O2 0.0380 0.5190 0.2311
# total DFT energy (no corrections) = -6.54 eV/atom
# total magnetic moment = 1.092 μB per formula unit
# theoretical density = 6.1 Mg/m³